No. 1
First-principles (PBE) data for Th2ZrUO8 after structural relaxation, as listed in Alexandria via LeMat-Bulk.

## Properties
**SG**: P4mm
**Calculated total energy**: -116.60 eV for the cell shown
**Magnetization**: 2.01 μB per cell
**Volume**: 13.58 A^3/atom

Cell lengths 3.859, 3.859, 10.944 Å; angles 90.00, 90.00, 90.00 degrees
Sites, in units of the cell vectors:
Th: 0.000 0.000 0.000
Th: 0.500 0.500 0.262
Zr: 0.000 0.000 0.506
U: 0.500 0.500 0.744
O: 0.000 0.500 0.130
O: 0.000 0.500 0.391
O: 0.000 0.500 0.622
O: 0.000 0.500 0.869
O: 0.500 0.000 0.130
O: 0.500 0.000 0.391
O: 0.500 0.000 0.622
O: 0.500 0.000 0.869

No. 2
First-principles (PBE) data for SrSi2IrRh after structural relaxation, as listed in Alexandria via LeMat-Bulk.

## Properties
**SG**: I-4m2
**Calculated total energy**: -66.45 eV for the cell shown
**Magnetization**: 0.00 μB per cell
**Volume**: 18.11 A^3/atom

Cell lengths 4.155, 4.155, 10.489 Å; angles 90.00, 90.00, 90.00 degrees
Sites, in units of the cell vectors:
Sr: 0.000 0.000 0.000
Sr: 0.500 0.500 0.500
Si: 0.000 0.000 0.367
Si: 0.000 0.000 0.633
Si: 0.500 0.500 0.133
Si: 0.500 0.500 0.867
Ir: 0.000 0.500 0.750
Ir: 0.500 0.000 0.250
Rh: 0.000 0.500 0.250
Rh: 0.500 0.000 0.750

No. 3
First-principles (PBE) data for CuNiW after structural relaxation, as listed in Alexandria via LeMat-Bulk.

## Properties
**SG**: I4mm
**Calculated total energy**: -44.97 eV for the cell shown
**DFT formation energy**: 116 meV per atom
**ΔE to the lowest computed polymorph**: 16 meV per atom
**Magnetization**: 0.00 μB per cell
**Volume**: 12.98 A^3/atom

Cell lengths 2.667, 2.667, 10.947 Å; angles 90.00, 90.00, 90.00 degrees
Sites, in units of the cell vectors:
Cu: 0.000 0.000 0.000
Cu: 0.500 0.500 0.500
Ni: 0.000 0.000 0.345
Ni: 0.500 0.500 0.845
W: 0.000 0.000 0.679
W: 0.500 0.500 0.179

No. 4
First-principles (PBE) data for Ca2Mo2Ru after structural relaxation, as listed in Alexandria via LeMat-Bulk.

## Properties
**SG**: P4/mbm
**Calculated total energy**: -57.87 eV for the cell shown
**DFT formation energy**: 1201 meV per atom
**ΔE to the lowest computed polymorph**: 461 meV per atom
**Magnetization**: 0.00 μB per cell
**Volume**: 22.14 A^3/atom

Cell lengths 8.602, 8.602, 2.992 Å; angles 90.00, 90.00, 90.00 degrees
Sites, in units of the cell vectors:
Ca: 0.204 0.296 0.000
Ca: 0.296 0.796 0.000
Ca: 0.704 0.204 0.000
Ca: 0.796 0.704 0.000
Mo: 0.090 0.590 0.500
Mo: 0.410 0.090 0.500
Mo: 0.590 0.910 0.500
Mo: 0.910 0.410 0.500
Ru: 0.000 0.000 0.000
Ru: 0.500 0.500 0.000

No. 5
First-principles (PBE) data for InReTe2Ir after structural relaxation, as listed in Alexandria via LeMat-Bulk.

## Properties
**SG**: P4/mmm
**Calculated total energy**: -18.57 eV for the cell shown
**Magnetization**: 2.76 μB per cell
**Volume**: 30.35 A^3/atom

Cell lengths 5.443, 5.443, 5.121 Å; angles 90.00, 90.00, 90.00 degrees
Sites, in units of the cell vectors:
In: 0.000 0.000 0.000
Re: 0.000 0.000 0.500
Te: 0.000 0.500 0.000
Te: 0.500 0.000 0.000
Ir: 0.500 0.500 0.500

No. 6
First-principles (PBE) data for Os2AuC after structural relaxation, as listed in Alexandria via LeMat-Bulk.

## Properties
**SG**: I-42d
**Calculated total energy**: -120.23 eV for the cell shown
**DFT formation energy**: 1226 meV per atom
**Magnetization**: 0.00 μB per cell
**Volume**: 16.97 A^3/atom

Cell lengths 4.960, 4.960, 11.040 Å; angles 90.00, 90.00, 90.00 degrees
Sites, in units of the cell vectors:
Os: 0.126 0.250 0.125
Os: 0.250 0.626 0.375
Os: 0.250 0.874 0.875
Os: 0.374 0.250 0.625
Os: 0.626 0.750 0.625
Os: 0.750 0.126 0.875
Os: 0.750 0.374 0.375
Os: 0.874 0.750 0.125
Au: 0.000 0.000 0.500
Au: 0.000 0.500 0.750
Au: 0.500 0.000 0.250
Au: 0.500 0.500 0.000
C: 0.000 0.000 0.000
C: 0.000 0.500 0.250
C: 0.500 0.000 0.750
C: 0.500 0.500 0.500

No. 7
First-principles (PBE) data for Cd3ReSe after structural relaxation, as listed in Alexandria via LeMat-Bulk.

## Properties
**SG**: Pm-3m
**Calculated total energy**: -11.52 eV for the cell shown
**ΔE to the lowest computed polymorph**: 319 meV per atom
**Magnetization**: 3.97 μB per cell
**Volume**: 28.93 A^3/atom

Cell lengths 5.250, 5.250, 5.250 Å; angles 90.00, 90.00, 90.00 degrees
Sites, in units of the cell vectors:
Cd: 0.000 0.000 0.500
Cd: 0.000 0.500 0.000
Cd: 0.500 0.000 0.000
Re: 0.500 0.500 0.500
Se: 0.000 0.000 0.000

No. 8
First-principles (PBE) data for ScInI2N after structural relaxation, as listed in Alexandria via LeMat-Bulk.

## Properties
**SG**: P4/mmm
**Calculated total energy**: -17.84 eV for the cell shown
**ΔE to the lowest computed polymorph**: 888 meV per atom
**Magnetization**: 0.61 μB per cell
**Volume**: 29.31 A^3/atom

Cell lengths 5.893, 5.893, 4.221 Å; angles 90.00, 90.00, 90.00 degrees
Sites, in units of the cell vectors:
Sc: 0.000 0.000 0.000
In: 0.500 0.500 0.500
I: 0.000 0.500 0.500
I: 0.500 0.000 0.500
N: 0.500 0.500 0.000

No. 9
First-principles (PBE) data for HoTm4Tc2 after structural relaxation, as listed in Alexandria via LeMat-Bulk.

## Properties
**SG**: P2_1/m
**Calculated total energy**: -87.44 eV for the cell shown
**DFT formation energy**: -75 meV per atom
**Magnetization**: 0.00 μB per cell
**Volume**: 24.88 A^3/atom

Cell lengths 7.727, 6.202, 7.832 Å; angles 90.00, 111.86, 90.00 degrees
Sites, in units of the cell vectors:
Ho: 0.026 0.250 0.157
Ho: 0.974 0.750 0.843
Tm: 0.239 0.501 0.583
Tm: 0.239 0.999 0.583
Tm: 0.327 0.750 0.251
Tm: 0.388 0.250 0.025
Tm: 0.612 0.750 0.975
Tm: 0.673 0.250 0.749
Tm: 0.761 0.001 0.417
Tm: 0.761 0.499 0.417
Tc: 0.033 0.250 0.754
Tc: 0.423 0.250 0.382
Tc: 0.577 0.750 0.618
Tc: 0.967 0.750 0.246

No. 10
First-principles (PBE) data for Nd2DyTm after structural relaxation, as listed in Alexandria via LeMat-Bulk.

## Properties
**SG**: Cmcm
**Calculated total energy**: -74.11 eV for the cell shown
**DFT formation energy**: 20 meV per atom
**ΔE to the lowest computed polymorph**: 6 meV per atom
**Magnetization**: 0.00 μB per cell
**Volume**: 33.32 A^3/atom

Cell lengths 7.339, 12.585, 5.773 Å; angles 90.00, 90.00, 90.00 degrees
Sites, in units of the cell vectors:
Nd: 0.250 0.166 0.250
Nd: 0.250 0.334 0.750
Nd: 0.250 0.666 0.250
Nd: 0.250 0.834 0.750
Nd: 0.750 0.166 0.250
Nd: 0.750 0.334 0.750
Nd: 0.750 0.666 0.250
Nd: 0.750 0.834 0.750
Dy: 0.000 0.082 0.750
Dy: 0.000 0.918 0.250
Dy: 0.500 0.418 0.250
Dy: 0.500 0.582 0.750
Tm: 0.000 0.417 0.250
Tm: 0.000 0.583 0.750
Tm: 0.500 0.083 0.750
Tm: 0.500 0.917 0.250

No. 11
First-principles (PBE) data for ReP2Pb after structural relaxation, as listed in Alexandria via LeMat-Bulk.

## Properties
**SG**: P4mm
**Calculated total energy**: -26.01 eV for the cell shown
**DFT formation energy**: 240 meV per atom
**Magnetization**: 0.00 μB per cell
**Volume**: 19.12 A^3/atom

Cell lengths 3.122, 3.122, 7.848 Å; angles 90.00, 90.00, 90.00 degrees
Sites, in units of the cell vectors:
Re: 0.000 0.000 0.000
P: 0.000 0.000 0.310
P: 0.500 0.500 0.135
Pb: 0.500 0.500 0.704

No. 12
First-principles (PBE) data for BeAl2Ir after structural relaxation, as listed in Alexandria via LeMat-Bulk.

## Properties
**SG**: Cm
**Calculated total energy**: -88.74 eV for the cell shown
**DFT formation energy**: -528 meV per atom
**Magnetization**: 0.00 μB per cell
**Volume**: 14.06 A^3/atom

Cell lengths 8.776, 4.137, 7.537 Å; angles 90.00, 124.73, 90.00 degrees
Sites, in units of the cell vectors:
Be: 0.000 0.000 0.000
Be: 0.218 0.500 0.351
Be: 0.500 0.500 0.000
Be: 0.718 0.000 0.351
Al: 0.082 0.000 0.398
Al: 0.228 0.000 0.866
Al: 0.353 0.000 0.301
Al: 0.440 0.000 0.711
Al: 0.582 0.500 0.398
Al: 0.728 0.500 0.866
Al: 0.853 0.500 0.301
Al: 0.940 0.500 0.711
Ir: 0.203 0.500 0.645
Ir: 0.251 0.500 0.071
Ir: 0.703 0.000 0.645
Ir: 0.751 0.000 0.071